P.
DFT (PBE) results for CsSb2TeN after structural relaxation.

Results
magnetic moment	0.00	μB/f.u.

Unit cell a=5.0158 b=5.0158 c=5.3227 alpha=90.00 beta=90.00 gamma=90.00
Closest atoms and distances in Å follow each position.
Sites, in units of the cell vectors:
Cs 0.5000 0.5000 0.5000  4 Te 3.55, 8 Sb 3.66
Te 0.0000 0.0000 0.5000  2 N 2.66
N 0.0000 0.0000 0.0000  4 Sb 2.51, 2 Te 2.66
Sb 0.5000 0.0000 0.0000  2 N 2.51
Sb 0.0000 0.5000 0.0000  2 N 2.51


Q.
DFT (PBE) results for CsSb2TeN after structural relaxation.

Results
magnetic moment	7.59	μB/f.u.

Unit cell a=7.9996 b=7.9996 c=7.3415 alpha=90.00 beta=90.00 gamma=90.00
Closest atoms and distances in Å follow each position.
Sites, in units of the cell vectors:
Sb 0.0000 0.5000 0.0000  2 Cs 4.00
Sb 0.5000 0.0000 0.0000  2 Cs 4.00
N 0.5000 0.5000 0.5000  8 Sb 5.43, 4 Te 5.66
Cs 0.0000 0.0000 0.0000  2 Te 3.67, 4 Sb 4.00
Te 0.0000 0.0000 0.5000  2 Cs 3.67


Of them, the most stable is P and the least stable is Q.


P.
DFT (PBE) results for CsScN2 after structural relaxation.

Results
magnetic moment	0.00	μB/f.u.

Unit cell a=7.7033 b=7.7033 c=7.7033 alpha=35.02 beta=35.02 gamma=35.02
Closest atoms and distances in Å follow each position.
Sites, in units of the cell vectors:
Cs 0.5000 0.5000 0.5000  6 N 3.25
N 0.0816 0.0816 0.0816  1 Sc 1.77
N 0.9184 0.9184 0.9184  1 Sc 1.77
Sc 0.0000 0.0000 0.0000  2 N 1.77


Q.
DFT (PBE) results for CsScN2 after structural relaxation.

Results
magnetic moment	2.00	μB/f.u.

Unit cell a=4.5249 b=4.5249 c=4.5249 alpha=60.00 beta=60.00 gamma=60.00
Closest atoms and distances in Å follow each position.
Sites, in units of the cell vectors:
Sc 0.0000 0.0000 0.0000  8 N 2.77
N 0.2500 0.2500 0.2500  4 Cs 2.77, 4 Sc 2.77
N 0.7500 0.7500 0.7500  4 Sc 2.77, 4 Cs 2.77
Cs 0.5000 0.5000 0.5000  8 N 2.77


Of them, the most stable is P and the least stable is Q.


P.
DFT (PBE) results for CsScSe2N after structural relaxation.

Results
magnetic moment	1.14	μB/f.u.

Unit cell a=5.8264 b=5.8264 c=4.3478 alpha=90.00 beta=90.00 gamma=90.00
Closest atoms and distances in Å follow each position.
Sites, in units of the cell vectors:
Sc 0.5000 0.5000 0.5000  8 Se 3.63
Cs 0.0000 0.0000 0.0000  2 N 2.17
N 0.0000 0.0000 0.5000  2 Cs 2.17
Se 0.5000 0.0000 0.0000  2 Cs 2.91
Se 0.0000 0.5000 0.0000  2 Cs 2.91


Q.
DFT (PBE) results for CsScSe2N after structural relaxation.

Results
magnetic moment	2.78	μB/f.u.

Unit cell a=5.4457 b=5.4457 c=4.5045 alpha=90.00 beta=90.00 gamma=90.00
Closest atoms and distances in Å follow each position.
Sites, in units of the cell vectors:
Se 0.0000 0.5000 0.0000  2 Sc 2.72
Se 0.5000 0.0000 0.0000  2 Sc 2.72
Sc 0.0000 0.0000 0.0000  2 N 2.25
Cs 0.5000 0.5000 0.5000  8 Se 3.53, 4 N 3.85
N 0.0000 0.0000 0.5000  2 Sc 2.25


Of them, the most stable is Q and the least stable is P.


P.
DFT (PBE) results for CsScTe2N after structural relaxation.

Results
magnetic moment	1.33	μB/f.u.

Unit cell a=6.2632 b=6.2632 c=4.3702 alpha=90.00 beta=90.00 gamma=90.00
Closest atoms and distances in Å follow each position.
Sites, in units of the cell vectors:
Cs 0.0000 0.0000 0.0000  2 N 2.19
Sc 0.5000 0.5000 0.5000  8 Te 3.82
Te 0.0000 0.5000 0.0000  2 Cs 3.13
Te 0.5000 0.0000 0.0000  2 Cs 3.13
N 0.0000 0.0000 0.5000  2 Cs 2.19


Q.
DFT (PBE) results for CsScTe2N after structural relaxation.

Results
magnetic moment	1.05	μB/f.u.

Unit cell a=6.2846 b=6.2846 c=4.0056 alpha=90.00 beta=90.00 gamma=90.00
Closest atoms and distances in Å follow each position.
Sites, in units of the cell vectors:
Sc 0.0000 0.0000 0.0000  2 N 2.00
N 0.0000 0.0000 0.5000  2 Sc 2.00
Te 0.5000 0.0000 0.0000  2 Sc 3.14
Te 0.0000 0.5000 0.0000  2 Sc 3.14
Cs 0.5000 0.5000 0.5000  8 Te 3.73, 2 Cs 4.01


Of them, the most stable is Q and the least stable is P.


P.
DFT (PBE) results for CsSe2N2 after structural relaxation.

Results
magnetic moment	0.00	μB/f.u.

Unit cell a=8.8330 b=8.8330 c=3.3325 alpha=90.00 beta=90.00 gamma=90.00
Closest atoms and distances in Å follow each position.
Sites, in units of the cell vectors:
N 0.6976 0.8024 0.0000  2 Se 1.91
N 0.3024 0.1976 0.0000  2 Se 1.91
N 0.1976 0.6976 0.0000  2 Se 1.91
N 0.8024 0.3024 0.0000  2 Se 1.91
Se 0.3769 0.1231 0.5000  2 N 1.91
Se 0.8769 0.3769 0.5000  2 N 1.91
Se 0.1231 0.6231 0.5000  2 N 1.91
Se 0.6231 0.8769 0.5000  2 N 1.91
Cs 0.0000 0.0000 0.0000  4 N 3.19, 2 Cs 3.33
Cs 0.5000 0.5000 0.0000  4 N 3.19, 2 Cs 3.33


Q.
DFT (PBE) results for CsSe2N2 after structural relaxation.

Results
magnetic moment	0.00	μB/f.u.

Unit cell a=7.1779 b=13.2301 c=11.4146 alpha=156.94 beta=133.59 gamma=27.84
Closest atoms and distances in Å follow each position.
Sites, in units of the cell vectors:
Cs 0.0000 0.0000 0.0000  4 N 3.22
Se 0.2504 0.4378 0.8133  2 N 1.83-1.94
Se 0.7496 0.5622 0.1867  2 N 1.83-1.94
N 0.1259 0.1795 0.4935  2 Se 1.83-1.94
N 0.8741 0.8205 0.5065  2 Se 1.83-1.94


R.
DFT (PBE) results for CsSe2N2 after structural relaxation.

Results
magnetic moment	3.36	μB/f.u.

Unit cell a=4.6831 b=4.6831 c=5.2261 alpha=90.00 beta=90.00 gamma=90.00
Closest atoms and distances in Å follow each position.
Sites, in units of the cell vectors:
Se 0.0000 0.0000 0.5000  2 Se 2.61
Se 0.0000 0.0000 0.0000  4 N 2.34, 2 Se 2.61
Cs 0.5000 0.5000 0.5000  4 Se 3.31, 8 N 3.51
N 0.5000 0.0000 0.0000  2 Se 2.34
N 0.0000 0.5000 0.0000  2 Se 2.34


S.
DFT (PBE) results for CsSe2N2 after structural relaxation.

Results
magnetic moment	0.00	μB/f.u.

Unit cell a=4.3341 b=4.3341 c=6.7372 alpha=71.24 beta=71.24 gamma=90.00
Closest atoms and distances in Å follow each position.
Sites, in units of the cell vectors:
N 0.2630 0.2630 0.4739  4 Se 2.17
N 0.7370 0.7370 0.5261  4 Se 2.17
Se 0.7500 0.2500 0.5000  4 N 2.17
Se 0.2500 0.7500 0.5000  4 N 2.17
Cs 0.0000 0.0000 0.0000  2 N 3.16


Of them, the most stable is Q and the least stable is R.


P.
DFT (PBE) results for CsSe3N after structural relaxation.

Results
magnetic moment	8.00	μB/f.u.

Unit cell a=7.3736 b=7.3736 c=7.3736 alpha=90.00 beta=90.00 gamma=90.00
Closest atoms and distances in Å follow each position.
Sites, in units of the cell vectors:
Cs 0.0000 0.0000 0.0000  6 Se 3.69
Se 0.0000 0.5000 0.0000  2 Cs 3.69
Se 0.5000 0.0000 0.0000  2 Cs 3.69
Se 0.0000 0.0000 0.5000  2 Cs 3.69
N 0.5000 0.5000 0.5000  12 Se 5.21


Q.
DFT (PBE) results for CsSe3N after structural relaxation.

Results
magnetic moment	0.00	μB/f.u.

Unit cell a=4.8363 b=4.8363 c=4.8363 alpha=90.00 beta=90.00 gamma=90.00
Closest atoms and distances in Å follow each position.
Sites, in units of the cell vectors:
Se 0.0000 0.5000 0.0000  2 N 2.42
Se 0.5000 0.0000 0.0000  2 N 2.42
Se 0.0000 0.0000 0.5000  2 N 2.42
N 0.0000 0.0000 0.0000  6 Se 2.42
Cs 0.5000 0.5000 0.5000  12 Se 3.42


Of them, the most stable is Q and the least stable is P.


P.
DFT (PBE) results for CsTcSeN2 after structural relaxation.

Results
magnetic moment	0.00	μB/f.u.

Unit cell a=4.1255 b=4.1255 c=5.2565 alpha=90.00 beta=90.00 gamma=90.00
Closest atoms and distances in Å follow each position.
Sites, in units of the cell vectors:
N 0.5000 0.0000 0.0000  2 Tc 2.06
N 0.0000 0.5000 0.0000  2 Tc 2.06
Tc 0.0000 0.0000 0.0000  4 N 2.06
Cs 0.5000 0.5000 0.5000  4 Se 2.92
Se 0.0000 0.0000 0.5000  2 Tc 2.63, 4 Cs 2.92


Q.
DFT (PBE) results for CsTcSeN2 after structural relaxation.

Results
magnetic moment	3.81	μB/f.u.

Unit cell a=4.2217 b=4.2217 c=6.8829 alpha=90.00 beta=90.00 gamma=90.00
Closest atoms and distances in Å follow each position.
Sites, in units of the cell vectors:
Cs 0.0000 0.0000 0.0000  4 N 2.11
N 0.5000 0.0000 0.0000  2 Cs 2.11
N 0.0000 0.5000 0.0000  2 Cs 2.11
Tc 0.5000 0.5000 0.5000  4 Se 2.99
Se 0.0000 0.0000 0.5000  4 Tc 2.99


Of them, the most stable is P and the least stable is Q.


P.
DFT (PBE) results for CsTiSeN2 after structural relaxation.

Results
magnetic moment	0.00	μB/f.u.

Unit cell a=4.2041 b=4.2041 c=5.3209 alpha=90.00 beta=90.00 gamma=90.00
Closest atoms and distances in Å follow each position.
Sites, in units of the cell vectors:
N 0.0000 0.5000 0.0000  2 Ti 2.10
N 0.5000 0.0000 0.0000  2 Ti 2.10
Ti 0.0000 0.0000 0.0000  4 N 2.10
Se 0.0000 0.0000 0.5000  2 Ti 2.66, 4 Cs 2.97
Cs 0.5000 0.5000 0.5000  4 Se 2.97


Q.
DFT (PBE) results for CsTiSeN2 after structural relaxation.

Results
magnetic moment	0.16	μB/f.u.

Unit cell a=4.1962 b=4.1962 c=6.3903 alpha=90.00 beta=90.00 gamma=90.00
Closest atoms and distances in Å follow each position.
Sites, in units of the cell vectors:
Cs 0.0000 0.0000 0.0000  4 N 2.10
N 0.5000 0.0000 0.0000  2 Cs 2.10
N 0.0000 0.5000 0.0000  2 Cs 2.10
Se 0.0000 0.0000 0.5000  4 Ti 2.97, 2 Cs 3.20
Ti 0.5000 0.5000 0.5000  4 Se 2.97


Of them, the most stable is P and the least stable is Q.


P.
DFT (PBE) results for CsTiSe2N after structural relaxation.

Results
magnetic moment	1.84	μB/f.u.

Unit cell a=5.3725 b=5.3725 c=4.0413 alpha=90.00 beta=90.00 gamma=90.00
Closest atoms and distances in Å follow each position.
Sites, in units of the cell vectors:
Ti 0.0000 0.0000 0.0000  2 N 2.02
Se 0.5000 0.0000 0.0000  2 Ti 2.69
Se 0.0000 0.5000 0.0000  2 Ti 2.69
Cs 0.5000 0.5000 0.5000  8 Se 3.36
N 0.0000 0.0000 0.5000  2 Ti 2.02


Q.
DFT (PBE) results for CsTiSe2N after structural relaxation.

Results
magnetic moment	0.00	μB/f.u.

Unit cell a=5.7030 b=5.7030 c=4.2650 alpha=90.00 beta=90.00 gamma=90.00
Closest atoms and distances in Å follow each position.
Sites, in units of the cell vectors:
Cs 0.0000 0.0000 0.0000  2 N 2.13
Se 0.5000 0.0000 0.0000  2 Cs 2.85
Se 0.0000 0.5000 0.0000  2 Cs 2.85
Ti 0.5000 0.5000 0.5000  8 Se 3.56
N 0.0000 0.0000 0.5000  2 Cs 2.13


Of them, the most stable is P and the least stable is Q.


P.
DFT (PBE) results for CsVSe2N after structural relaxation.

Results
magnetic moment	0.42	μB/f.u.

Unit cell a=5.4209 b=5.4209 c=3.7415 alpha=90.00 beta=90.00 gamma=90.00
Closest atoms and distances in Å follow each position.
Sites, in units of the cell vectors:
V 0.0000 0.0000 0.0000  2 N 1.87
Cs 0.5000 0.5000 0.5000  8 Se 3.29
Se 0.5000 0.0000 0.0000  2 V 2.71
Se 0.0000 0.5000 0.0000  2 V 2.71
N 0.0000 0.0000 0.5000  2 V 1.87


Q.
DFT (PBE) results for CsVSe2N after structural relaxation.

Results
magnetic moment	0.06	μB/f.u.

Unit cell a=5.7509 b=5.7509 c=4.2499 alpha=90.00 beta=90.00 gamma=90.00
Closest atoms and distances in Å follow each position.
Sites, in units of the cell vectors:
V 0.5000 0.5000 0.5000  8 Se 3.58
N 0.0000 0.0000 0.5000  2 Cs 2.12
Se 0.5000 0.0000 0.0000  2 Cs 2.88
Se 0.0000 0.5000 0.0000  2 Cs 2.88
Cs 0.0000 0.0000 0.0000  2 N 2.12


Of them, the most stable is P and the least stable is Q.


P.
DFT (PBE) results for CsZrSeN2 after structural relaxation.

Results
magnetic moment	3.01	μB/f.u.

Unit cell a=4.5862 b=4.5862 c=5.3562 alpha=90.00 beta=90.00 gamma=90.00
Closest atoms and distances in Å follow each position.
Sites, in units of the cell vectors:
Zr 0.0000 0.0000 0.0000  4 N 2.29
Cs 0.5000 0.5000 0.5000  4 Se 3.24, 8 N 3.53
N 0.0000 0.5000 0.0000  2 Zr 2.29
N 0.5000 0.0000 0.0000  2 Zr 2.29
Se 0.0000 0.0000 0.5000  2 Zr 2.68


Q.
DFT (PBE) results for CsZrSeN2 after structural relaxation.

Results
magnetic moment	0.13	μB/f.u.

Unit cell a=4.2410 b=4.2410 c=6.1104 alpha=90.00 beta=90.00 gamma=90.00
Closest atoms and distances in Å follow each position.
Sites, in units of the cell vectors:
N 0.5000 0.0000 0.0000  2 Cs 2.12
N 0.0000 0.5000 0.0000  2 Cs 2.12
Se 0.0000 0.0000 0.5000  4 Zr 3.00, 2 Cs 3.06
Zr 0.5000 0.5000 0.5000  4 Se 3.00
Cs 0.0000 0.0000 0.0000  4 N 2.12


Of them, the most stable is P and the least stable is Q.


P.
DFT (PBE) results for CsSiTeN2 after structural relaxation.

Results
magnetic moment	2.48	μB/f.u.

Unit cell a=4.3792 b=4.3792 c=5.3541 alpha=90.00 beta=90.00 gamma=90.00
Closest atoms and distances in Å follow each position.
Sites, in units of the cell vectors:
Te 0.0000 0.0000 0.5000  2 Si 2.68
Cs 0.5000 0.5000 0.5000  4 Te 3.10, 8 N 3.46
Si 0.0000 0.0000 0.0000  4 N 2.19
N 0.0000 0.5000 0.0000  2 Si 2.19
N 0.5000 0.0000 0.0000  2 Si 2.19


Q.
DFT (PBE) results for CsSiTeN2 after structural relaxation.

Results
magnetic moment	2.07	μB/f.u.

Unit cell a=4.4123 b=4.4123 c=7.6136 alpha=90.00 beta=90.00 gamma=90.00
Closest atoms and distances in Å follow each position.
Sites, in units of the cell vectors:
N 0.5000 0.0000 0.0000  2 Cs 2.21
N 0.0000 0.5000 0.0000  2 Cs 2.21
Cs 0.0000 0.0000 0.0000  4 N 2.21
Si 0.5000 0.5000 0.5000  4 Te 3.12
Te 0.0000 0.0000 0.5000  4 Si 3.12


Of them, the most stable is P and the least stable is Q.


P.
DFT (PBE) results for CsSn3N after structural relaxation.

Results
magnetic moment	0.00	μB/f.u.

Unit cell a=6.2552 b=6.2552 c=6.2552 alpha=90.00 beta=90.00 gamma=90.00
Closest atoms and distances in Å follow each position.
Sites, in units of the cell vectors:
Sn 0.0000 0.0000 0.5000  2 Cs 3.13
Sn 0.5000 0.0000 0.0000  2 Cs 3.13
Sn 0.0000 0.5000 0.0000  2 Cs 3.13
N 0.5000 0.5000 0.5000  12 Sn 4.42
Cs 0.0000 0.0000 0.0000  6 Sn 3.13


Q.
DFT (PBE) results for CsSn3N after structural relaxation.

Results
magnetic moment	0.00	μB/f.u.

Unit cell a=5.1876 b=5.1876 c=5.1876 alpha=90.00 beta=90.00 gamma=90.00
Closest atoms and distances in Å follow each position.
Sites, in units of the cell vectors:
Sn 0.0000 0.5000 0.0000  2 N 2.59
Sn 0.0000 0.0000 0.5000  2 N 2.59
Sn 0.5000 0.0000 0.0000  2 N 2.59
Cs 0.5000 0.5000 0.5000  12 Sn 3.67
N 0.0000 0.0000 0.0000  6 Sn 2.59


Of them, the most stable is Q and the least stable is P.